A plane-wave DFT calculation with PBEsol was carried out for an optimized crystal structure of KReOs3.

Cell and atoms, written as POSCAR:
```
KReOs3
1.0
4.752 0.000 0.000
0.000 4.752 0.000
0.000 0.000 4.752
K Re Os
1 1 3
Direct
0.000 0.000 0.000 K
0.500 0.500 0.500 Re
0.000 0.500 0.500 Os
0.500 0.000 0.500 Os
0.500 0.500 0.000 Os
```

Summary:
energy of formation = 2.183 eV per atom
density = 12319 kg/m³
symmetry = Pm-3m (221)
total energy = -8.040 eV per atom